Here is crystalline PrMgBiSe at its relaxed geometry from Alexandria. Energies are from PBE.

symmetry = P4/nmm (129)
DFT total energy = -4.370 eV/atom
formation energy without anion corrections = -0.935 eV per atom
N(E_F) = 0.03 states/eV per atom
calculated volume = 29.877 Å³/atom

```
PrMgBiSe
1.0
4.8428 0.0000 0.0000
0.0000 4.8428 0.0000
0.0000 0.0000 10.1913
Pr Mg Bi Se
2 2 2 2
direct
0.2500 0.2500 0.1604 Pr
0.7500 0.7500 0.8396 Pr
0.2500 0.7500 0.5000 Mg
0.7500 0.2500 0.5000 Mg
0.2500 0.2500 0.6804 Bi
0.7500 0.7500 0.3196 Bi
0.2500 0.7500 0.0000 Se
0.7500 0.2500 0.0000 Se
```